Record 1
The following is a GGA-PBE calculation of a geometry-optimized NdMgPd2 structure, from Alexandria.

## Properties
Energy relative to the elements   -698.4 meV/atom
Symmetry   P4/mmm, No. 123
Spin magnetization   0.00 μB/f.u.

a = 3.4310 Å, b = 3.4310 Å, c = 6.7979 Å
α = 90.00°, β = 90.00°, γ = 90.00°
With the nearest neighbours (Å) after each atom.
Fractional positions:
Nd  0.0000  0.0000  0.0000  8 Pd 3.11, 2 Mg 3.40, 4 Nd 3.43
Mg  0.0000  0.0000  0.5000  8 Pd 2.83
Pd  0.5000  0.5000  0.2853  4 Mg 2.83, 1 Pd 2.92, 4 Nd 3.11
Pd  0.5000  0.5000  0.7147  4 Mg 2.83, 1 Pd 2.92, 4 Nd 3.11

Record 2
The following is a GGA-PBE calculation of a geometry-optimized Nd2Mg2Pd15 structure, from Alexandria.

## Properties
Energy relative to the elements   -465.3 meV/atom
Symmetry   R-3m, No. 166
Spin magnetization   0.00 μB/f.u.

a = 7.0288 Å, b = 7.0288 Å, c = 7.0288 Å
α = 81.15°, β = 81.15°, γ = 81.15°
With the nearest neighbours (Å) after each atom.
Fractional positions:
Nd  0.1504  0.1504  0.1504  15 Pd 3.20-3.56, 1 Mg 3.47
Nd  0.8496  0.8496  0.8496  15 Pd 3.20-3.56, 1 Mg 3.47
Mg  0.3997  0.3997  0.3997  1 Mg 2.79, 12 Pd 2.80-3.12
Mg  0.6003  0.6003  0.6003  1 Mg 2.79, 12 Pd 2.80-3.12
Pd  0.0000  0.5000  0.5000  8 Pd 2.65-2.72, 2 Mg 2.80
Pd  0.1527  0.1527  0.6559  8 Pd 2.65-2.87, 1 Mg 2.88
Pd  0.1527  0.6559  0.1527  8 Pd 2.65-2.87, 1 Mg 2.88
Pd  0.1954  0.5000  0.8046  8 Pd 2.72-2.87
Pd  0.1954  0.8046  0.5000  8 Pd 2.72-2.87
Pd  0.3441  0.8473  0.8473  8 Pd 2.65-2.87, 1 Mg 2.88
Pd  0.5000  0.0000  0.5000  8 Pd 2.65-2.72, 2 Mg 2.80
Pd  0.5000  0.1954  0.8046  8 Pd 2.72-2.87
Pd  0.5000  0.5000  0.0000  8 Pd 2.65-2.72, 2 Mg 2.80
Pd  0.5000  0.8046  0.1954  8 Pd 2.72-2.87
Pd  0.6559  0.1527  0.1527  8 Pd 2.65-2.87, 1 Mg 2.88
Pd  0.8046  0.1954  0.5000  8 Pd 2.72-2.87
Pd  0.8046  0.5000  0.1954  8 Pd 2.72-2.87
Pd  0.8473  0.3441  0.8473  8 Pd 2.65-2.87, 1 Mg 2.88
Pd  0.8473  0.8473  0.3441  8 Pd 2.65-2.87, 1 Mg 2.88

Record 3
The following is a GGA-PBE calculation of a geometry-optimized Nd3Mg7Pd2 structure, from Alexandria.

## Properties
Energy relative to the elements   -305.3 meV/atom
Symmetry   R-3m, No. 166
Spin magnetization   0.00 μB/f.u.

a = 9.9548 Å, b = 9.9548 Å, c = 9.9548 Å
α = 35.04°, β = 35.04°, γ = 35.04°
With the nearest neighbours (Å) after each atom.
Fractional positions:
Nd  0.0000  0.0000  0.0000  6 Pd 3.46, 12 Mg 3.65
Nd  0.1473  0.1473  0.1473  12 Mg 3.50-3.62, 3 Nd 3.63
Nd  0.8527  0.8527  0.8527  12 Mg 3.50-3.62, 3 Nd 3.63
Mg  0.0732  0.5751  0.5751  2 Pd 2.71, 4 Mg 2.98-3.01
Mg  0.4249  0.4249  0.9268  2 Pd 2.71, 4 Mg 2.98-3.01
Mg  0.4249  0.9268  0.4249  2 Pd 2.71, 4 Mg 2.98-3.01
Mg  0.5000  0.5000  0.5000  6 Mg 3.11
Mg  0.5751  0.0732  0.5751  2 Pd 2.71, 4 Mg 2.98-3.01
Mg  0.5751  0.5751  0.0732  2 Pd 2.71, 4 Mg 2.98-3.01
Mg  0.9268  0.4249  0.4249  2 Pd 2.71, 4 Mg 2.98-3.01
Pd  0.3336  0.3336  0.3336  6 Mg 2.71
Pd  0.6664  0.6664  0.6664  6 Mg 2.71

Record 4
The following is a GGA-PBE calculation of a geometry-optimized Nd2MgPd structure, from Alexandria.

## Properties
Energy relative to the elements   -389.2 meV/atom
Symmetry   P2_1/m, No. 11
Spin magnetization   0.00 μB/f.u.
Energy above the lowest structure with this stoichiometry   20 meV/atom

a = 3.7521 Å, b = 9.0091 Å, c = 6.6625 Å
α = 90.00°, β = 106.34°, γ = 90.00°
With the nearest neighbours (Å) after each atom.
Fractional positions:
Nd  0.1327  0.0535  0.2654  3 Pd 3.03-3.07
Nd  0.1327  0.4465  0.2654  3 Pd 3.03-3.07
Nd  0.8673  0.5535  0.7346  3 Pd 3.03-3.07
Nd  0.8673  0.9465  0.7346  3 Pd 3.03-3.07
Mg  0.4332  0.2500  0.8707  2 Pd 2.94-2.95
Mg  0.5668  0.7500  0.1293  2 Pd 2.94-2.95
Pd  0.2425  0.7500  0.4852  2 Mg 2.94-2.95, 6 Nd 3.03-3.07
Pd  0.7575  0.2500  0.5148  2 Mg 2.94-2.95, 6 Nd 3.03-3.07

Record 5
The following is a GGA-PBE calculation of a geometry-optimized NdMg4Pd5 structure, from Alexandria.

## Properties
Energy relative to the elements   -705.1 meV/atom
Symmetry   P4/mmm, No. 123
Spin magnetization   0.00 μB/f.u.

a = 3.2852 Å, b = 3.2852 Å, c = 16.3318 Å
α = 90.00°, β = 90.00°, γ = 90.00°
With the nearest neighbours (Å) after each atom.
Fractional positions:
Nd  0.0000  0.0000  0.0000  8 Pd 3.10, 4 Nd 3.29
Mg  0.0000  0.0000  0.2176  8 Pd 2.77-2.79, 1 Mg 3.08
Mg  0.0000  0.0000  0.4061  8 Pd 2.78-2.79, 2 Mg 3.07-3.08
Mg  0.0000  0.0000  0.5939  8 Pd 2.78-2.79, 2 Mg 3.07-3.08
Mg  0.0000  0.0000  0.7824  8 Pd 2.77-2.79, 1 Mg 3.08
Pd  0.5000  0.5000  0.1255  4 Mg 2.77, 1 Pd 3.05, 4 Nd 3.10
Pd  0.5000  0.5000  0.3120  8 Mg 2.79, 2 Pd 3.05-3.07
Pd  0.5000  0.5000  0.5000  8 Mg 2.78, 2 Pd 3.07
Pd  0.5000  0.5000  0.6880  8 Mg 2.79, 2 Pd 3.05-3.07
Pd  0.5000  0.5000  0.8745  4 Mg 2.77, 1 Pd 3.05, 4 Nd 3.10

Record 6
The following is a GGA-PBE calculation of a geometry-optimized NdMg2Pd structure, from Alexandria.

## Properties
Energy relative to the elements   -508.1 meV/atom
Symmetry   Pnma, No. 62
Spin magnetization   0.00 μB/f.u.

a = 15.9673 Å, b = 8.2245 Å, c = 5.6623 Å
α = 90.00°, β = 90.00°, γ = 90.00°
With the nearest neighbours (Å) after each atom.
Fractional positions:
Nd  0.1055  0.2500  0.2448  3 Pd 3.05-3.14, 4 Mg 3.40-3.41
Nd  0.1377  0.7500  0.0487  3 Pd 2.96-3.12
Nd  0.3623  0.2500  0.5487  3 Pd 2.96-3.12
Nd  0.3945  0.7500  0.7448  3 Pd 3.05-3.14, 4 Mg 3.40-3.41
Nd  0.6055  0.2500  0.2552  3 Pd 3.05-3.14, 4 Mg 3.40-3.41
Nd  0.6377  0.7500  0.4513  3 Pd 2.96-3.12
Nd  0.8623  0.2500  0.9513  3 Pd 2.96-3.12
Nd  0.8945  0.7500  0.7552  3 Pd 3.05-3.14, 4 Mg 3.40-3.41
Mg  0.0392  0.0550  0.7410  3 Pd 2.81-2.83, 2 Mg 3.11-3.14
Mg  0.0392  0.4450  0.7410  3 Pd 2.81-2.83, 2 Mg 3.11-3.14
Mg  0.2122  0.5550  0.5443  3 Pd 2.80-2.83, 1 Mg 3.11
Mg  0.2122  0.9450  0.5443  3 Pd 2.80-2.83, 1 Mg 3.11
Mg  0.2878  0.0550  0.0443  3 Pd 2.80-2.83, 1 Mg 3.11
Mg  0.2878  0.4450  0.0443  3 Pd 2.80-2.83, 1 Mg 3.11
Mg  0.4608  0.5550  0.2410  3 Pd 2.81-2.83, 2 Mg 3.11-3.14
Mg  0.4608  0.9450  0.2410  3 Pd 2.81-2.83, 2 Mg 3.11-3.14
Mg  0.5392  0.0550  0.7590  3 Pd 2.81-2.83, 2 Mg 3.11-3.14
Mg  0.5392  0.4450  0.7590  3 Pd 2.81-2.83, 2 Mg 3.11-3.14
Mg  0.7122  0.5550  0.9557  3 Pd 2.80-2.83, 1 Mg 3.11
Mg  0.7122  0.9450  0.9557  3 Pd 2.80-2.83, 1 Mg 3.11
Mg  0.7878  0.0550  0.4557  3 Pd 2.80-2.83, 1 Mg 3.11
Mg  0.7878  0.4450  0.4557  3 Pd 2.80-2.83, 1 Mg 3.11
Mg  0.9608  0.5550  0.2590  3 Pd 2.81-2.83, 2 Mg 3.11-3.14
Mg  0.9608  0.9450  0.2590  3 Pd 2.81-2.83, 2 Mg 3.11-3.14
Pd  0.0684  0.7500  0.5333  6 Mg 2.80-2.82, 3 Nd 2.96-3.12
Pd  0.1853  0.2500  0.7524  6 Mg 2.80-2.83, 2 Nd 3.05-3.07
Pd  0.3147  0.7500  0.2524  6 Mg 2.80-2.83, 2 Nd 3.05-3.07
Pd  0.4316  0.2500  0.0333  6 Mg 2.80-2.82, 3 Nd 2.96-3.12
Pd  0.5684  0.7500  0.9667  6 Mg 2.80-2.82, 3 Nd 2.96-3.12
Pd  0.6853  0.2500  0.7476  6 Mg 2.80-2.83, 2 Nd 3.05-3.07
Pd  0.8147  0.7500  0.2476  6 Mg 2.80-2.83, 2 Nd 3.05-3.07
Pd  0.9316  0.2500  0.4667  6 Mg 2.80-2.82, 3 Nd 2.96-3.12

Record 7
The following is a GGA-PBE calculation of a geometry-optimized NdMg3Pd structure, from Alexandria.

## Properties
Energy relative to the elements   -402.6 meV/atom
Symmetry   Cmmm, No. 65
Spin magnetization   0.00 μB/f.u.
Energy above the lowest structure with this stoichiometry   0 meV/atom

a = 7.6015 Å, b = 7.6015 Å, c = 4.3198 Å
α = 90.00°, β = 90.00°, γ = 110.87°
With the nearest neighbours (Å) after each atom.
Fractional positions:
Nd  0.2096  0.7904  0.0000  2 Pd 3.09, 6 Mg 3.40-3.43
Nd  0.7904  0.2096  0.0000  2 Pd 3.09, 6 Mg 3.40-3.43
Mg  0.0000  0.0000  0.5000  4 Pd 2.71
Mg  0.1786  0.4304  0.5000  2 Pd 2.85, 4 Mg 3.06-3.16
Mg  0.4304  0.1786  0.5000  2 Pd 2.85, 4 Mg 3.06-3.16
Mg  0.5000  0.5000  0.0000  2 Pd 2.68
Mg  0.5696  0.8214  0.5000  2 Pd 2.85, 4 Mg 3.06-3.16
Mg  0.8214  0.5696  0.5000  2 Pd 2.85, 4 Mg 3.06-3.16
Pd  0.1894  0.1894  0.0000  7 Mg 2.68-2.85
Pd  0.8106  0.8106  0.0000  7 Mg 2.68-2.85

Record 8
The following is a GGA-PBE calculation of a geometry-optimized NdMg12Pd6 structure, from Alexandria.

## Properties
Energy relative to the elements   -422.2 meV/atom
Symmetry   R-3m, No. 166
Spin magnetization   0.00 μB/f.u.

a = 7.6385 Å, b = 7.6385 Å, c = 7.6385 Å
α = 104.91°, β = 104.91°, γ = 104.91°
With the nearest neighbours (Å) after each atom.
Fractional positions:
Nd  0.0000  0.0000  0.0000  6 Mg 3.59, 6 Pd 3.98
Mg  0.1191  0.5000  0.8809  4 Pd 2.63-2.68, 1 Mg 2.88
Mg  0.1191  0.8809  0.5000  4 Pd 2.63-2.68, 1 Mg 2.88
Mg  0.1612  0.4223  0.4223  3 Pd 2.68-2.76
Mg  0.4223  0.1612  0.4223  3 Pd 2.68-2.76
Mg  0.4223  0.4223  0.1612  3 Pd 2.68-2.76
Mg  0.5000  0.1191  0.8809  4 Pd 2.63-2.68, 1 Mg 2.88
Mg  0.5000  0.8809  0.1191  4 Pd 2.63-2.68, 1 Mg 2.88
Mg  0.5777  0.5777  0.8388  3 Pd 2.68-2.76
Mg  0.5777  0.8388  0.5777  3 Pd 2.68-2.76
Mg  0.8388  0.5777  0.5777  3 Pd 2.68-2.76
Mg  0.8809  0.1191  0.5000  4 Pd 2.63-2.68, 1 Mg 2.88
Mg  0.8809  0.5000  0.1191  4 Pd 2.63-2.68, 1 Mg 2.88
Pd  0.2606  0.2606  0.7006  7 Mg 2.63-2.76
Pd  0.2606  0.7006  0.2606  7 Mg 2.63-2.76
Pd  0.2994  0.7394  0.7394  7 Mg 2.63-2.76
Pd  0.7006  0.2606  0.2606  7 Mg 2.63-2.76
Pd  0.7394  0.2994  0.7394  7 Mg 2.63-2.76
Pd  0.7394  0.7394  0.2994  7 Mg 2.63-2.76

Record 9
The following is a GGA-PBE calculation of a geometry-optimized NdMg4Pd2 structure, from Alexandria.

## Properties
Energy relative to the elements   -509.8 meV/atom
Symmetry   P4_2/mnm, No. 136
Spin magnetization   0.00 μB/f.u.

a = 8.1229 Å, b = 8.1229 Å, c = 4.5063 Å
α = 90.00°, β = 90.00°, γ = 90.00°
With the nearest neighbours (Å) after each atom.
Fractional positions:
Nd  0.0000  0.0000  0.0000  6 Pd 3.10-3.47
Nd  0.5000  0.5000  0.5000  6 Pd 3.10-3.47
Mg  0.0877  0.3365  0.5000  3 Pd 2.72-2.75, 2 Mg 2.86-3.01
Mg  0.1635  0.5877  0.0000  3 Pd 2.72-2.75, 2 Mg 2.86-3.01
Mg  0.3365  0.0877  0.5000  3 Pd 2.72-2.75, 2 Mg 2.86-3.01
Mg  0.4123  0.8365  0.0000  3 Pd 2.72-2.75, 2 Mg 2.86-3.01
Mg  0.5877  0.1635  0.0000  3 Pd 2.72-2.75, 2 Mg 2.86-3.01
Mg  0.6635  0.9123  0.5000  3 Pd 2.72-2.75, 2 Mg 2.86-3.01
Mg  0.8365  0.4123  0.0000  3 Pd 2.72-2.75, 2 Mg 2.86-3.01
Mg  0.9123  0.6635  0.5000  3 Pd 2.72-2.75, 2 Mg 2.86-3.01
Pd  0.2298  0.7702  0.5000  6 Mg 2.72-2.75
Pd  0.2702  0.2702  0.0000  6 Mg 2.72-2.75
Pd  0.7298  0.7298  0.0000  6 Mg 2.72-2.75
Pd  0.7702  0.2298  0.5000  6 Mg 2.72-2.75

Record 10
The following is a GGA-PBE calculation of a geometry-optimized NdMgPd6 structure, from Alexandria.

## Properties
Energy relative to the elements   -604.7 meV/atom
Symmetry   P4/mmm, No. 123
Spin magnetization   0.00 μB/f.u.

a = 4.1405 Å, b = 4.1405 Å, c = 7.9941 Å
α = 90.00°, β = 90.00°, γ = 90.00°
With the nearest neighbours (Å) after each atom.
Fractional positions:
Nd  0.0000  0.0000  0.0000  12 Pd 2.93-2.97
Mg  0.0000  0.0000  0.5000  12 Pd 2.79-2.93
Pd  0.0000  0.5000  0.2667  8 Pd 2.79-2.97, 2 Mg 2.79, 2 Nd 2.97
Pd  0.0000  0.5000  0.7333  2 Mg 2.79, 8 Pd 2.79-2.97, 2 Nd 2.97
Pd  0.5000  0.0000  0.2667  8 Pd 2.79-2.97, 2 Mg 2.79, 2 Nd 2.97
Pd  0.5000  0.0000  0.7333  2 Mg 2.79, 8 Pd 2.79-2.97, 2 Nd 2.97
Pd  0.5000  0.5000  0.0000  4 Nd 2.93, 8 Pd 2.97
Pd  0.5000  0.5000  0.5000  8 Pd 2.79, 4 Mg 2.93

Record 11
The following is a GGA-PBE calculation of a geometry-optimized NdMgPd2 structure, from Alexandria.

## Properties
Energy relative to the elements   -662.8 meV/atom
Symmetry   P4/mmm, No. 123
Spin magnetization   0.00 μB/f.u.

a = 4.8989 Å, b = 4.8989 Å, c = 3.3893 Å
α = 90.00°, β = 90.00°, γ = 90.00°
With the nearest neighbours (Å) after each atom.
Fractional positions:
Nd  0.0000  0.0000  0.0000  8 Pd 2.98
Mg  0.5000  0.5000  0.0000  8 Pd 2.98
Pd  0.0000  0.5000  0.5000  4 Mg 2.98, 4 Nd 2.98
Pd  0.5000  0.0000  0.5000  4 Mg 2.98, 4 Nd 2.98

Record 12
The following is a GGA-PBE calculation of a geometry-optimized Nd4MgPd structure, from Alexandria.

## Properties
Energy relative to the elements   -315.4 meV/atom
Symmetry   F-43m, No. 216
Spin magnetization   0.00 μB/f.u.
Energy above the lowest structure with this stoichiometry   0 meV/atom

a = 10.0930 Å, b = 10.0930 Å, c = 10.0930 Å
α = 60.00°, β = 60.00°, γ = 60.00°
With the nearest neighbours (Å) after each atom.
Fractional positions:
Nd  0.1845  0.1845  0.8155  2 Mg 3.45, 2 Pd 3.68, 10 Nd 3.68-3.78
Nd  0.1845  0.8155  0.1845  2 Mg 3.45, 2 Pd 3.68, 10 Nd 3.68-3.78
Nd  0.1845  0.8155  0.8155  2 Mg 3.45, 2 Pd 3.68, 10 Nd 3.68-3.78
Nd  0.4006  0.4006  0.4006  3 Pd 2.94
Nd  0.4006  0.4006  0.7982  3 Pd 2.94
Nd  0.4006  0.7982  0.4006  3 Pd 2.94
Nd  0.5582  0.5582  0.9418  2 Pd 2.98
Nd  0.5582  0.9418  0.5582  2 Pd 2.98
Nd  0.5582  0.9418  0.9418  2 Pd 2.98
Nd  0.7982  0.4006  0.4006  3 Pd 2.94
Nd  0.8155  0.1845  0.1845  2 Mg 3.45, 2 Pd 3.68, 10 Nd 3.68-3.78
Nd  0.8155  0.1845  0.8155  2 Mg 3.45, 2 Pd 3.68, 10 Nd 3.68-3.78
Nd  0.8155  0.8155  0.1845  2 Mg 3.45, 2 Pd 3.68, 10 Nd 3.68-3.78
Nd  0.9418  0.5582  0.5582  2 Pd 2.98
Nd  0.9418  0.5582  0.9418  2 Pd 2.98
Nd  0.9418  0.9418  0.5582  2 Pd 2.98
Mg  0.1709  0.1709  0.1709  3 Mg 3.19, 3 Nd 3.45
Mg  0.1709  0.1709  0.4874  3 Mg 3.19, 3 Nd 3.45
Mg  0.1709  0.4874  0.1709  3 Mg 3.19, 3 Nd 3.45
Mg  0.4874  0.1709  0.1709  3 Mg 3.19, 3 Nd 3.45
Pd  0.1800  0.6067  0.6067  6 Nd 2.94-2.98
Pd  0.6067  0.1800  0.6067  6 Nd 2.94-2.98
Pd  0.6067  0.6067  0.1800  6 Nd 2.94-2.98
Pd  0.6067  0.6067  0.6067  6 Nd 2.94-2.98

no.,raw total energy (eV/atom),DOS at the Fermi energy (states/eV/cell)
1,-4.885,1.3
2,-5.235,18.7
3,-3.293,11.2
4,-4.470,6.1
5,-4.416,3.1
6,-3.796,21.9
7,-3.352,7.7
8,-3.320,10.5
9,-3.586,8.2
10,-5.295,9.0
11,-4.850,1.9
12,-4.625,23.4